VASP calculation (PBE-GGA) on a relaxed Tb3CePr3S8 crystal.

```
Tb3CePr3S8
1.0
8.0049 -0.0002 0.0000
-4.0026 6.9332 -0.0239
0.0001 -4.5986 6.6121
Tb Ce Pr S
3 1 3 8
Direct
0.5000 0.0000 0.5000
0.5000 0.5000 0.5000
0.0000 0.5000 0.5000
0.0000 0.0000 0.5000
0.0000 0.0000 0.0000
0.0000 0.5000 0.0000
0.5000 0.5000 0.0000
0.2551 0.5102 0.2654
0.7449 0.4898 0.7346
0.7490 0.4981 0.2599
0.2510 0.5019 0.7401
0.7490 0.0109 0.2599
0.2510 0.9891 0.7401
0.2619 0.0109 0.2599
0.7381 0.9891 0.7401
```

Results
DOS at the Fermi energy in states/eV/atom: 0.786
Raw formation energy in meV/atom: -2025